## K2MgTl2 (PBE)

Data for a relaxed K2MgTl2 crystal.

Properties
Spin magnetization = 0.00 μB/cell
Symmetry = No. 127
D(E_F) = 7.736 states/eV per cell
DFT total energy = -1.70 eV/atom
E_form = 2 meV/atom
Relative energy among the computed polymorphs = 61.2 meV/atom

Cell: 7.9492 7.9492 5.9630 Å, 90.00 90.00 90.00°
Closest atoms and distances in Å follow each position.
Positions (direct):
1 K 0.8243 0.3243 0.5000  6 Tl 3.65-3.90, 1 K 3.95
2 K 0.1757 0.6757 0.5000  6 Tl 3.65-3.90, 1 K 3.95
3 K 0.3243 0.1757 0.5000  6 Tl 3.65-3.90, 1 K 3.95
4 K 0.6757 0.8243 0.5000  6 Tl 3.65-3.90, 1 K 3.95
5 Mg 0.0000 0.0000 0.0000  4 Tl 3.08
6 Mg 0.5000 0.5000 0.0000  4 Tl 3.08
7 Tl 0.1378 0.3622 0.0000  2 Mg 3.08, 1 Tl 3.10
8 Tl 0.3622 0.8622 0.0000  2 Mg 3.08, 1 Tl 3.10
9 Tl 0.8622 0.6378 0.0000  2 Mg 3.08, 1 Tl 3.10
10 Tl 0.6378 0.1378 0.0000  2 Mg 3.08, 1 Tl 3.10



## KMg2Tl8 (PBE)

Data for a relaxed KMg2Tl8 crystal.

Properties
Spin magnetization = 0.00 μB/cell
Symmetry = No. 123
D(E_F) = 8.547 states/eV per cell
DFT total energy = -1.95 eV/atom
E_form = 157 meV/atom
Relative energy among the computed polymorphs = 135.5 meV/atom

Cell: 6.8229 6.8229 9.1814 Å, 90.00 90.00 90.00°
Closest atoms and distances in Å follow each position.
Positions (direct):
1 K 0.5000 0.5000 0.5000  8 Tl 3.71
2 Tl 0.2437 0.2437 0.8006  2 Mg 3.03, 2 Tl 3.33
3 Tl 0.7563 0.7563 0.8006  2 Mg 3.03, 2 Tl 3.33
4 Tl 0.7563 0.7563 0.1994  2 Mg 3.03, 2 Tl 3.33
5 Tl 0.7563 0.2437 0.1994  2 Mg 3.03, 2 Tl 3.33
6 Tl 0.7563 0.2437 0.8006  2 Mg 3.03, 2 Tl 3.33
7 Tl 0.2437 0.7563 0.1994  2 Mg 3.03, 2 Tl 3.33
8 Tl 0.2437 0.7563 0.8006  2 Mg 3.03, 2 Tl 3.33
9 Tl 0.2437 0.2437 0.1994  2 Mg 3.03, 2 Tl 3.33
10 Mg 0.0000 0.5000 0.0000  8 Tl 3.03
11 Mg 0.5000 0.0000 0.0000  8 Tl 3.03



## K2Mg5Tl4 (PBE)

Data for a relaxed K2Mg5Tl4 crystal.

Properties
Spin magnetization = 0.00 μB/cell
Symmetry = No. 69
D(E_F) = 5.935 states/eV per cell
DFT total energy = -1.80 eV/atom
E_form = -17 meV/atom

Cell: 6.3899 6.5568 9.9751 Å, 81.02 71.32 60.84°
Closest atoms and distances in Å follow each position.
Positions (direct):
1 Mg 0.7500 0.5000 0.5000  4 Tl 2.99, 2 Mg 3.19
2 Mg 0.5000 0.5000 0.0000  4 Tl 3.07, 4 Mg 3.19-3.28
3 Mg 0.5000 0.0000 0.0000  4 Tl 3.03, 4 Mg 3.28
4 Mg 0.0000 0.5000 0.0000  4 Tl 3.07, 4 Mg 3.19-3.28
5 Mg 0.2500 0.5000 0.5000  4 Tl 2.99, 2 Mg 3.19
6 Tl 0.7876 0.6802 0.7447  5 Mg 2.99-3.07
7 Tl 0.2124 0.3198 0.2553  5 Mg 2.99-3.07
8 Tl 0.4677 0.3198 0.7447  5 Mg 2.99-3.07
9 Tl 0.5323 0.6802 0.2553  5 Mg 2.99-3.07
10 K 0.1363 0.0000 0.7274  6 Tl 3.69-3.90, 6 Mg 3.92-4.10
11 K 0.8637 0.0000 0.2726  6 Tl 3.69-3.90, 6 Mg 3.92-4.10



## K2MgTl (PBE)

Data for a relaxed K2MgTl crystal.

Properties
Spin magnetization = 0.00 μB/cell
Symmetry = No. 122
D(E_F) = 7.385 states/eV per cell
DFT total energy = -1.34 eV/atom
E_form = 198 meV/atom

Cell: 9.9882 9.9882 7.8180 Å, 50.30 50.30 90.00°
Closest atoms and distances in Å follow each position.
Positions (direct):
1 Mg 0.5000 0.5000 0.0000  2 Tl 3.35, 4 K 3.71
2 Mg 0.2500 0.7500 0.5000  2 Tl 3.35, 4 K 3.71
3 K 0.1140 0.6250 0.2500  2 K 3.36, 2 Tl 3.55, 2 Mg 3.71
4 K 0.6360 0.1250 0.2500  2 K 3.36, 2 Tl 3.55, 2 Mg 3.71
5 K 0.3750 0.3640 0.7500  2 K 3.36, 2 Tl 3.55, 2 Mg 3.71
6 K 0.8750 0.8860 0.7500  2 K 3.36, 2 Tl 3.55, 2 Mg 3.71
7 Tl 0.0000 0.0000 0.0000  2 Mg 3.35, 4 K 3.55
8 Tl 0.7500 0.2500 0.5000  2 Mg 3.35, 4 K 3.55



## KMg2Tl6 (PBE)

Data for a relaxed KMg2Tl6 crystal.

Properties
Spin magnetization = 0.00 μB/cell
Symmetry = No. 227
D(E_F) = 9.230 states/eV per cell
DFT total energy = -1.87 eV/atom
E_form = 180 meV/atom
Relative energy among the computed polymorphs = 206.3 meV/atom

Cell: 9.7557 9.7557 9.7557 Å, 60.00 60.00 60.00°
Closest atoms and distances in Å follow each position.
Positions (direct):
1 Tl 0.0006 0.4994 0.4994  2 Mg 2.98
2 Tl 0.7506 0.2494 0.2494  2 Mg 2.98
3 Tl 0.4994 0.0006 0.4994  2 Mg 2.98
4 Tl 0.0006 0.0006 0.4994  2 Mg 2.98
5 Tl 0.7506 0.7506 0.2494  2 Mg 2.98
6 Tl 0.4994 0.0006 0.0006  2 Mg 2.98
7 Tl 0.0006 0.4994 0.0006  2 Mg 2.98
8 Tl 0.7506 0.2494 0.7506  2 Mg 2.98
9 Tl 0.2494 0.7506 0.7506  2 Mg 2.98
10 Tl 0.2494 0.7506 0.2494  2 Mg 2.98
11 Tl 0.2494 0.2494 0.7506  2 Mg 2.98
12 Tl 0.4994 0.4994 0.0006  2 Mg 2.98
13 K 0.7500 0.7500 0.7500  6 Tl 3.46
14 K 0.5000 0.5000 0.5000  6 Tl 3.46
15 Mg 0.1250 0.1250 0.1250  6 Tl 2.98
16 Mg 0.6250 0.1250 0.1250  6 Tl 2.98
17 Mg 0.1250 0.1250 0.6250  6 Tl 2.98
18 Mg 0.1250 0.6250 0.1250  6 Tl 2.98



## KMg2Tl (PBE)

Data for a relaxed KMg2Tl crystal.

Properties
Spin magnetization = 0.00 μB/cell
Symmetry = No. 71
D(E_F) = 1.929 states/eV per cell
DFT total energy = -1.55 eV/atom
E_form = 110 meV/atom
Relative energy among the computed polymorphs = 72.1 meV/atom

Cell: 6.8077 6.8077 6.8077 Å, 149.41 129.10 60.56°
Closest atoms and distances in Å follow each position.
Positions (direct):
1 Mg 0.0316 0.0316 0.0000  2 Tl 3.13
2 Mg 0.4684 0.4684 0.0000  2 Tl 3.13
3 K 0.7500 0.2500 0.5000  4 Tl 3.43, 2 K 3.59, 4 Mg 3.77
4 Tl 0.2500 0.7500 0.5000  4 Mg 3.13, 4 K 3.43



## K2MgTl (PBE)

Data for a relaxed K2MgTl crystal.

Properties
Spin magnetization = 0.00 μB/cell
Symmetry = No. 12
D(E_F) = 3.532 states/eV per cell
DFT total energy = -1.41 eV/atom
E_form = 131 meV/atom

Cell: 8.2968 6.5466 4.0651 Å, 91.02 58.80 118.22°
Closest atoms and distances in Å follow each position.
Positions (direct):
1 Mg 0.0000 0.5000 0.5000  2 Tl 3.55, 8 K 3.82-3.88
2 Tl 0.5000 0.5000 0.0000  2 Mg 3.55, 8 K 3.82-3.88
3 K 0.0000 0.0000 0.0000  2 K 3.55, 4 Mg 3.82-3.88, 4 Tl 3.82-3.88
4 K 0.5000 0.0000 0.5000  2 K 3.55, 4 Tl 3.82-3.88, 4 Mg 3.82-3.88



## KMg2Tl9 (PBE)

Data for a relaxed KMg2Tl9 crystal.

Properties
Spin magnetization = 0.00 μB/cell
Symmetry = No. 191
D(E_F) = 8.301 states/eV per cell
DFT total energy = -2.16 eV/atom
E_form = -32 meV/atom

Cell: 3.6404 10.7306 10.7306 Å, 120.00 90.00 90.00°
Closest atoms and distances in Å follow each position.
Positions (direct):
1 Mg 0.0000 0.6667 0.3333  9 Tl 3.10-3.31
2 Mg 0.0000 0.3333 0.6667  9 Tl 3.10-3.31
3 Tl 0.5000 0.3697 0.1849  2 Mg 3.31, 8 Tl 3.44-3.64
4 Tl 0.5000 0.6303 0.8151  2 Mg 3.31, 8 Tl 3.44-3.64
5 Tl 0.5000 0.1849 0.8151  2 Mg 3.31, 8 Tl 3.44-3.64
6 Tl 0.5000 0.8151 0.1849  2 Mg 3.31, 8 Tl 3.44-3.64
7 Tl 0.0000 0.5000 0.0000  2 Mg 3.10, 8 Tl 3.46
8 Tl 0.0000 0.0000 0.5000  2 Mg 3.10, 8 Tl 3.46
9 Tl 0.5000 0.1849 0.3697  2 Mg 3.31, 8 Tl 3.44-3.64
10 Tl 0.0000 0.5000 0.5000  2 Mg 3.10, 8 Tl 3.46
11 Tl 0.5000 0.8151 0.6303  2 Mg 3.31, 8 Tl 3.44-3.64
12 K 0.0000 0.0000 0.0000  2 K 3.64, 12 Tl 3.89